# GGA+U FeSn2Cl2O2, relaxed
# **ρ**: 4.40 g/cm3
# **Final energy**: -0.379 Ry/atom
# **DOS(E_F)**: 0.00 states/eV per cell
data_FeSn2Cl2O2
_space_group_name_H-M_alt 'C 1 2/m 1'
_space_group_IT_number 12
_cell_length_a 11.945
_cell_length_b 3.679
_cell_length_c 8.036
_cell_angle_alpha 90.00
_cell_angle_beta 122.13
_cell_angle_gamma 90.00
loop_
_space_group_symop_operation_xyz
'x,y,z'
'-x,-y,-z'
'-x,y,-z'
'x,-y,z'
'x+1/2,y+1/2,z'
'-x+1/2,-y+1/2,-z'
'-x+1/2,y+1/2,-z'
'x+1/2,-y+1/2,z'
loop_
_atom_site_label
_atom_site_fract_x
_atom_site_fract_y
_atom_site_fract_z
Fe1 0.000 0.000 0.000
Sn1 0.191 0.000 0.780
Cl1 0.066 0.500 0.261
O1 0.189 0.000 0.057